This record from Alexandria via LeMat-Bulk describes crystalline SrEuCu at its relaxed geometry. The functional is GGA-PBE.

Summary:
- total energy (eV/atom) = -5.285
- ΔH_f (0 K) (meV/atom) = 66
- symmetry = F-43m, No. 216

a = 7.475 Å, b = 7.475 Å, c = 7.475 Å
α = 90.00°, β = 90.00°, γ = 90.00°
Positions (direct):
1 Sr 0.000 0.000 0.000
2 Sr 0.000 0.500 0.500
3 Sr 0.500 0.000 0.500
4 Sr 0.500 0.500 0.000
5 Eu 0.000 0.000 0.500
6 Eu 0.000 0.500 0.000
7 Eu 0.500 0.000 0.000
8 Eu 0.500 0.500 0.500
9 Cu 0.250 0.250 0.250
10 Cu 0.250 0.750 0.750
11 Cu 0.750 0.250 0.750
12 Cu 0.750 0.750 0.250

This record from Alexandria via LeMat-Bulk describes crystalline LaNb2NiPd at its relaxed geometry. The functional is GGA-PBE.

Summary:
- total energy (eV/atom) = -5.511
- ΔH_f (0 K) (meV/atom) = 1697
- symmetry = P4/mmm, No. 123

a = 4.913 Å, b = 4.913 Å, c = 4.525 Å
α = 90.00°, β = 90.00°, γ = 90.00°
Positions (direct):
1 La 0.000 0.000 0.000
2 Nb 0.000 0.500 0.000
3 Nb 0.500 0.000 0.000
4 Ni 0.000 0.000 0.500
5 Pd 0.500 0.500 0.500

This record from Alexandria via LeMat-Bulk describes crystalline ZnFe2Br at its relaxed geometry. The functional is GGA-PBE.

Summary:
- total energy (eV/atom) = -4.381
- ΔE_f (raw) (meV per atom) = 587
- symmetry = Cmmm, No. 65

a = 3.158 Å, b = 5.042 Å, c = 8.148 Å
α = 90.00°, β = 90.00°, γ = 90.00°
Positions (direct):
1 Zn 0.000 0.000 0.000
2 Zn 0.500 0.500 0.000
3 Fe 0.000 0.500 0.245
4 Fe 0.000 0.500 0.755
5 Fe 0.500 0.000 0.245
6 Fe 0.500 0.000 0.755
7 Br 0.000 0.000 0.500
8 Br 0.500 0.500 0.500

This record from Alexandria via LeMat-Bulk describes crystalline Ac2Sm7Dy4 at its relaxed geometry. The functional is GGA-PBE.

Summary:
- total energy (eV/atom) = -4.381
- ΔH_f (0 K) (meV/atom) = 208
- symmetry = P-31m, No. 162

a = 6.278 Å, b = 6.278 Å, c = 13.356 Å
α = 90.00°, β = 90.00°, γ = 120.00°
Positions (direct):
1 Ac 0.333 0.667 0.000
2 Ac 0.667 0.333 0.000
3 Sm 0.000 0.000 0.000
4 Sm 0.000 0.366 0.774
5 Sm 0.000 0.634 0.226
6 Sm 0.366 0.000 0.774
7 Sm 0.366 0.366 0.226
8 Sm 0.634 0.000 0.226
9 Sm 0.634 0.634 0.774
10 Dy 0.000 0.000 0.395
11 Dy 0.000 0.000 0.605
12 Dy 0.333 0.667 0.500
13 Dy 0.667 0.333 0.500

This record from Alexandria via LeMat-Bulk describes crystalline Ca2CdRu2 at its relaxed geometry. The functional is GGA-PBE.

Summary:
- total energy (eV/atom) = -4.107
- ΔH_f (0 K) (meV/atom) = 587
- symmetry = P4/mbm, No. 127

a = 8.641 Å, b = 8.641 Å, c = 2.831 Å
α = 90.00°, β = 90.00°, γ = 90.00°
Positions (direct):
1 Ca 0.130 0.370 0.000
2 Ca 0.370 0.870 0.000
3 Ca 0.630 0.130 0.000
4 Ca 0.870 0.630 0.000
5 Cd 0.000 0.000 0.000
6 Cd 0.500 0.500 0.000
7 Ru 0.172 0.672 0.500
8 Ru 0.328 0.172 0.500
9 Ru 0.672 0.828 0.500
10 Ru 0.828 0.328 0.500

This record from Alexandria via LeMat-Bulk describes crystalline DySc3Pd2 at its relaxed geometry. The functional is GGA-PBE.

Summary:
- total energy (eV/atom) = -6.101
- ΔH_f (0 K) (meV/atom) = -437
- symmetry = Ibam, No. 72

a = 8.066 Å, b = 8.066 Å, c = 8.066 Å
α = 131.95°, β = 71.54°, γ = 130.40°
Positions (direct):
1 Dy 0.000 0.000 0.000
2 Dy 0.500 0.500 0.000
3 Sc 0.012 0.250 0.762
4 Sc 0.250 0.750 0.500
5 Sc 0.488 0.250 0.238
6 Sc 0.512 0.750 0.762
7 Sc 0.750 0.250 0.500
8 Sc 0.988 0.750 0.238
9 Pd 0.143 0.704 0.847
10 Pd 0.357 0.204 0.561
11 Pd 0.643 0.796 0.439
12 Pd 0.857 0.296 0.153

This record from Alexandria via LeMat-Bulk describes crystalline K2CrSnSe4 at its relaxed geometry. The functional is GGA-PBE.

Summary:
- total energy (eV/atom) = -4.443
- ΔE_f (raw) (meV per atom) = -723
- symmetry = Imma, No. 74

a = 8.409 Å, b = 8.409 Å, c = 8.409 Å
α = 121.75°, β = 117.96°, γ = 90.28°
Positions (direct):
1 K 0.000 0.000 0.000
2 K 0.500 0.000 0.000
3 K 0.500 0.000 0.500
4 K 0.500 0.500 0.500
5 Cr 0.000 0.000 0.500
6 Cr 0.000 0.500 0.000
7 Sn 0.000 0.500 0.500
8 Sn 0.500 0.500 0.000
9 Se 0.186 0.741 0.445
10 Se 0.204 0.259 0.945
11 Se 0.218 0.234 0.517
12 Se 0.218 0.701 0.983
13 Se 0.782 0.299 0.017
14 Se 0.782 0.766 0.483
15 Se 0.796 0.741 0.055
16 Se 0.814 0.259 0.555

This record from Alexandria via LeMat-Bulk describes crystalline CdAs2P at its relaxed geometry. The functional is GGA-PBE.

Summary:
- total energy (eV/atom) = -3.482
- ΔH_f (0 K) (meV/atom) = 424
- symmetry = Cmmm, No. 65

a = 3.234 Å, b = 5.123 Å, c = 9.539 Å
α = 90.00°, β = 90.00°, γ = 90.00°
Positions (direct):
1 Cd 0.000 0.000 0.000
2 Cd 0.500 0.500 0.000
3 As 0.000 0.500 0.293
4 As 0.000 0.500 0.707
5 As 0.500 0.000 0.293
6 As 0.500 0.000 0.707
7 P 0.000 0.000 0.500
8 P 0.500 0.500 0.500

This record from Alexandria via LeMat-Bulk describes crystalline Sr2H6Au3 at its relaxed geometry. The functional is GGA-PBE.

Summary:
- total energy (eV/atom) = -3.412
- symmetry = P-1, No. 2

a = 4.320 Å, b = 6.525 Å, c = 6.538 Å
α = 97.98°, β = 108.96°, γ = 109.01°
Positions (direct):
1 Sr 0.001 0.284 0.217
2 Sr 0.999 0.716 0.783
3 H 0.302 0.131 0.971
4 H 0.302 0.468 0.632
5 H 0.494 0.827 0.662
6 H 0.506 0.173 0.338
7 H 0.698 0.532 0.368
8 H 0.698 0.869 0.029
9 Au 0.290 0.289 0.791
10 Au 0.500 0.000 0.500
11 Au 0.710 0.711 0.209

This record from Alexandria via LeMat-Bulk describes crystalline Ce4PrNd at its relaxed geometry. The functional is GGA-PBE.

Summary:
- total energy (eV/atom) = -5.346
- ΔH_f (0 K) (meV/atom) = 202
- symmetry = F-43m, No. 216

a = 6.389 Å, b = 6.389 Å, c = 6.389 Å
α = 60.00°, β = 60.00°, γ = 60.00°
Positions (direct):
1 Ce 0.124 0.124 0.124
2 Ce 0.124 0.124 0.628
3 Ce 0.124 0.628 0.124
4 Ce 0.628 0.124 0.124
5 Pr 0.500 0.500 0.500
6 Nd 0.750 0.750 0.750

This record from Alexandria via LeMat-Bulk describes crystalline LiVSe3 at its relaxed geometry. The functional is GGA-PBE.

Summary:
- total energy (eV/atom) = -4.936
- ΔE_f (raw) (meV per atom) = -639
- symmetry = C2/c, No. 15

a = 8.756 Å, b = 8.756 Å, c = 6.664 Å
α = 98.48°, β = 98.48°, γ = 87.50°
Positions (direct):
1 Li 0.084 0.916 0.750
2 Li 0.262 0.738 0.250
3 Li 0.738 0.262 0.750
4 Li 0.916 0.084 0.250
5 V 0.217 0.378 0.703
6 V 0.378 0.217 0.203
7 V 0.622 0.783 0.797
8 V 0.783 0.622 0.297
9 Se 0.021 0.209 0.635
10 Se 0.136 0.599 0.863
11 Se 0.209 0.021 0.135
12 Se 0.284 0.444 0.398
13 Se 0.401 0.864 0.637
14 Se 0.444 0.284 0.898
15 Se 0.556 0.716 0.102
16 Se 0.599 0.136 0.363
17 Se 0.716 0.556 0.602
18 Se 0.791 0.979 0.865
19 Se 0.864 0.401 0.137
20 Se 0.979 0.791 0.365

This record from Alexandria via LeMat-Bulk describes crystalline Zn2HIr2 at its relaxed geometry. The functional is GGA-PBE.

Summary:
- total energy (eV/atom) = -4.780
- symmetry = P4/mbm, No. 127

a = 5.394 Å, b = 5.394 Å, c = 4.350 Å
α = 90.00°, β = 90.00°, γ = 90.00°
Positions (direct):
1 Zn 0.159 0.341 0.000
2 Zn 0.341 0.841 0.000
3 Zn 0.659 0.159 0.000
4 Zn 0.841 0.659 0.000
5 H 0.000 0.000 0.500
6 H 0.500 0.500 0.500
7 Ir 0.175 0.675 0.500
8 Ir 0.325 0.175 0.500
9 Ir 0.675 0.825 0.500
10 Ir 0.825 0.325 0.500

Question: The lowest total energy belongs to which entry?
Answer: DySc3Pd2

Question: Which value of total energy does entry 2 give?
Answer: -5.511 eV/atom

Question: Look up the total energy of the sixth one.
Answer: -6.101 eV/atom

Question: Which of these has the highest total energy?
Answer: Sr2H6Au3